# 1
This record from the Alexandria database describes a PBEsol-optimized structure of CuRe3H. The functional is meta-GGA SCAN.

Calculated values
Space-group type: Pm-3m
Calculated total energy: -45.961 eV per atom
DOS at the Fermi energy: 0.584 states/eV per atom

Unit cell a=3.8692 b=3.8692 c=3.8692 alpha=90.00 beta=90.00 gamma=90.00
Closest atoms and distances in Å follow each position.
Element x y z (fractional)
1 H 0.0000 0.0000 0.0000  6 Re 1.93
2 Re 0.0000 0.0000 0.5000  2 H 1.93
3 Re 0.5000 0.0000 0.0000  2 H 1.93
4 Cu 0.5000 0.5000 0.5000  12 Re 2.74
5 Re 0.0000 0.5000 0.0000  2 H 1.93

---

# 2
This record from the Alexandria database describes a PBEsol-optimized structure of KCd4Pb. The functional is meta-GGA SCAN.

Calculated values
Space-group type: F-43m
Calculated total energy: -34.358 eV per atom
DOS at the Fermi energy: 0.378 states/eV per atom

Unit cell a=5.9968 b=5.9968 c=5.9968 alpha=60.00 beta=60.00 gamma=60.00
Closest atoms and distances in Å follow each position.
Element x y z (fractional)
1 Cd 0.3750 0.3750 0.8750  6 Cd 3.00
2 K 0.7500 0.7500 0.7500  12 Cd 3.52, 4 Pb 3.67
3 Cd 0.3750 0.8750 0.3750  6 Cd 3.00
4 Pb 0.0000 0.0000 0.0000  12 Cd 3.52, 4 K 3.67
5 Cd 0.8750 0.3750 0.3750  6 Cd 3.00
6 Cd 0.3750 0.3750 0.3750  6 Cd 3.00

---

# 3
This record from the Alexandria database describes a PBEsol-optimized structure of Al2SbRu. The functional is meta-GGA SCAN.

Calculated values
Space-group type: P4/mmm
Calculated total energy: -22.222 eV per atom
DOS at the Fermi energy: 0.385 states/eV per atom
E_form (uncorrected): -0.32 eV/atom

Unit cell a=3.0017 b=3.0017 c=7.8441 alpha=90.00 beta=90.00 gamma=90.00
Closest atoms and distances in Å follow each position.
Element x y z (fractional)
1 Ru 0.5000 0.5000 0.0000  8 Al 2.55
2 Al 0.0000 0.0000 0.8205  4 Ru 2.55, 1 Al 2.82
3 Sb 0.5000 0.5000 0.5000  4 Sb 3.00, 8 Al 3.29
4 Al 0.0000 0.0000 0.1795  4 Ru 2.55, 1 Al 2.82

---

# 4
This record from the Alexandria database describes a PBEsol-optimized structure of HgPt2W. The functional is meta-GGA SCAN.

Calculated values
Space-group type: P2/m
Calculated total energy: -69.161 eV per atom
DOS at the Fermi energy: 0.790 states/eV per atom

Unit cell a=2.7697 b=4.9203 c=5.1091 alpha=111.63 beta=90.00 gamma=90.00
Closest atoms and distances in Å follow each position.
Element x y z (fractional)
1 Hg 0.0000 0.5000 0.5000  2 Hg 2.77, 6 Pt 2.82, 4 W 2.91
2 W 0.5000 0.5000 0.0000  2 W 2.77, 6 Pt 2.82, 4 Hg 2.91
3 Pt 0.5000 0.0000 0.5000  6 Pt 2.77-2.91, 2 W 2.82, 4 Hg 2.82
4 Pt 0.0000 0.0000 0.0000  6 Pt 2.77-2.91, 2 Hg 2.82, 4 W 2.82

---

# 5
This record from the Alexandria database describes a PBEsol-optimized structure of Ho5B2O6F9. The functional is meta-GGA SCAN.

Calculated values
Space-group type: C2/c
Calculated total energy: -18.937 eV per atom
DOS at the Fermi energy: 0.000 states/eV per atom
E_form (uncorrected): -3.98 eV/atom

Unit cell a=6.0058 b=8.1802 c=10.5111 alpha=99.83 beta=106.60 gamma=90.00
Closest atoms and distances in Å follow each position.
Element x y z (fractional)
1 F 0.1365 0.9809 0.4219  3 Ho 2.25-2.31
2 Ho 0.1845 0.1812 0.6125  5 F 2.19-2.37, 2 O 2.31
3 F 0.9473 0.2864 0.4478  2 Ho 2.19-2.21
4 F 0.8635 0.0191 0.5781  3 Ho 2.25-2.31
5 F 0.9869 0.7500 0.0000  3 Ho 2.27-2.47
6 F 0.2854 0.4809 0.4219  3 Ho 2.25-2.31
7 O 0.3501 0.4336 0.1820  1 B 1.37
8 O 0.6942 0.2163 0.1853  1 B 1.38
9 Ho 0.4280 0.6812 0.6125  5 F 2.19-2.37, 2 O 2.31
10 B 0.7054 0.0613 0.2222  3 O 1.37-1.39
11 F 0.5005 0.7864 0.4478  2 Ho 2.19-2.21
12 Ho 0.8155 0.8188 0.3875  5 F 2.19-2.37, 2 O 2.31
13 F 0.0131 0.2500 0.0000  3 Ho 2.27-2.47
14 O 0.6499 0.5664 0.8180  1 B 1.37
15 O 0.8319 0.9336 0.1820  1 B 1.37
16 F 0.3533 0.9836 0.0631  2 Ho 2.21-2.41, 1 B 2.30
17 Ho 0.6093 0.7500 0.0000  3 F 2.27-2.41, 4 O 2.29-2.31
18 F 0.2064 0.1838 0.2634  3 Ho 2.23-2.37
19 Ho 0.7778 0.0957 0.7796  5 F 2.21-2.47, 3 O 2.28-2.37
20 O 0.4911 0.7163 0.1853  1 B 1.38
21 O 0.1681 0.0664 0.8180  1 B 1.37
22 O 0.2784 0.4621 0.6807  1 B 1.39
23 O 0.3058 0.7837 0.8147  1 B 1.38
24 Ho 0.9982 0.4043 0.2204  5 F 2.21-2.47, 3 O 2.28-2.37
25 F 0.6467 0.0164 0.9369  2 Ho 2.21-2.41, 1 B 2.30
26 F 0.4995 0.2136 0.5522  2 Ho 2.19-2.21
27 B 0.2946 0.9387 0.7778  3 O 1.37-1.39
28 F 0.7146 0.5191 0.5781  3 Ho 2.25-2.31
29 F 0.2901 0.5164 0.9369  2 Ho 2.21-2.41, 1 B 2.30
30 O 0.4023 0.9621 0.6807  1 B 1.39
31 O 0.5089 0.2837 0.8147  1 B 1.38
32 F 0.7936 0.8162 0.7366  3 Ho 2.23-2.37
33 B 0.5168 0.5613 0.2222  3 O 1.37-1.39
34 O 0.7216 0.5379 0.3193  1 B 1.39
35 F 0.0570 0.6838 0.2634  3 Ho 2.23-2.37
36 B 0.4832 0.4387 0.7778  3 O 1.37-1.39
37 Ho 0.5720 0.3188 0.3875  5 F 2.19-2.37, 2 O 2.31
38 F 0.9430 0.3162 0.7366  3 Ho 2.23-2.37
39 O 0.5977 0.0379 0.3193  1 B 1.39
40 Ho 0.3907 0.2500 0.0000  3 F 2.27-2.41, 4 O 2.29-2.31
41 Ho 0.0018 0.5957 0.7796  5 F 2.21-2.47, 3 O 2.28-2.37
42 F 0.0527 0.7136 0.5522  2 Ho 2.19-2.21
43 F 0.7099 0.4836 0.0631  2 Ho 2.21-2.41, 1 B 2.30
44 Ho 0.2222 0.9043 0.2204  5 F 2.21-2.47, 3 O 2.28-2.37

---

# 6
This record from the Alexandria database describes a PBEsol-optimized structure of NiIrW2. The functional is meta-GGA SCAN.

Calculated values
Space-group type: R-3m
Calculated total energy: -56.546 eV per atom
DOS at the Fermi energy: 0.606 states/eV per atom

Unit cell a=2.7249 b=2.7249 c=8.9375 alpha=81.23 beta=81.23 gamma=60.00
Closest atoms and distances in Å follow each position.
Element x y z (fractional)
1 Ni 0.0000 0.0000 0.0000  6 W 2.65, 6 Ni 2.72
2 Ir 0.5000 0.5000 0.5000  6 Ir 2.72, 6 W 2.76
3 W 0.2526 0.2526 0.2422  3 Ni 2.65, 6 W 2.72, 3 Ir 2.76
4 W 0.7474 0.7474 0.7578  3 Ni 2.65, 6 W 2.72, 3 Ir 2.76

---

# 7
This record from the Alexandria database describes a PBEsol-optimized structure of Sr2SbRh. The functional is meta-GGA SCAN.

Calculated values
Space-group type: R3m
Calculated total energy: -29.600 eV per atom
DOS at the Fermi energy: 0.661 states/eV per atom
E_form (uncorrected): -0.70 eV/atom

Unit cell a=4.5203 b=4.5203 c=8.4394 alpha=74.47 beta=74.47 gamma=60.00
Closest atoms and distances in Å follow each position.
Element x y z (fractional)
1 Sr 0.7922 0.7922 0.6234  3 Sb 3.28, 3 Rh 3.30
2 Rh 0.5425 0.5425 0.3725  3 Sb 2.61
3 Sr 0.9575 0.9575 0.1274  3 Rh 3.27, 3 Sb 3.29
4 Sb 0.2078 0.2078 0.3766  3 Rh 2.61

---

# 8
This record from the Alexandria database describes a PBEsol-optimized structure of Sr2LiS2. The functional is meta-GGA SCAN.

Calculated values
Space-group type: I4/mmm
Calculated total energy: -14.850 eV per atom
DOS at the Fermi energy: 0.366 states/eV per atom
E_form (uncorrected): -1.61 eV/atom

Unit cell a=5.7332 b=5.7332 c=6.8590 alpha=114.70 beta=114.70 gamma=90.00
Closest atoms and distances in Å follow each position.
Element x y z (fractional)
1 Li 0.0000 0.0000 0.0000  2 S 2.31
2 Sr 0.2500 0.7500 0.5000  4 S 2.90
3 S 0.7917 0.7917 0.5834  1 Li 2.31
4 S 0.2083 0.2083 0.4166  1 Li 2.31
5 Sr 0.7500 0.2500 0.5000  4 S 2.90

---

# 9
This record from the Alexandria database describes a PBEsol-optimized structure of Mo2RhAu. The functional is meta-GGA SCAN.

Calculated values
Space-group type: R3m
Calculated total energy: -43.023 eV per atom
DOS at the Fermi energy: 0.847 states/eV per atom

Unit cell a=2.7585 b=2.7585 c=9.4068 alpha=81.57 beta=81.57 gamma=60.00
Closest atoms and distances in Å follow each position.
Element x y z (fractional)
1 Rh 0.4960 0.4960 0.5120  3 Mo 2.63, 6 Rh 2.76, 3 Au 2.88
2 Au 0.2488 0.2488 0.2537  6 Au 2.76, 3 Mo 2.87, 3 Rh 2.88
3 Mo 0.0011 0.0011 0.9968  9 Mo 2.76-2.88, 3 Au 2.87
4 Mo 0.7542 0.7542 0.7375  3 Rh 2.63, 9 Mo 2.76-2.88

---

# 10
This record from the Alexandria database describes a PBEsol-optimized structure of Cs3KSc. The functional is meta-GGA SCAN.

Calculated values
Space-group type: Pm-3m
Calculated total energy: -26.564 eV per atom
DOS at the Fermi energy: 2.280 states/eV per atom

Unit cell a=7.5629 b=7.5629 c=7.5629 alpha=90.00 beta=90.00 gamma=90.00
Closest atoms and distances in Å follow each position.
Element x y z (fractional)
1 K 0.5000 0.5000 0.5000  12 Cs 5.35
2 Cs 0.0000 0.5000 0.0000  2 Sc 3.78
3 Cs 0.5000 0.0000 0.0000  2 Sc 3.78
4 Sc 0.0000 0.0000 0.0000  6 Cs 3.78
5 Cs 0.0000 0.0000 0.5000  2 Sc 3.78

---

# 11
This record from the Alexandria database describes a PBEsol-optimized structure of LaBeCo2. The functional is meta-GGA SCAN.

Calculated values
Space-group type: Imm2
Calculated total energy: -20.078 eV per atom
DOS at the Fermi energy: 0.614 states/eV per atom

Unit cell a=3.2449 b=3.9784 c=5.1180 alpha=112.87 beta=108.48 gamma=90.00
Closest atoms and distances in Å follow each position.
Element x y z (fractional)
1 Co 0.9651 0.9651 0.9301  2 Be 2.27
2 Be 0.2860 0.7860 0.5721  2 Co 2.27
3 Co 0.7379 0.2379 0.4758  4 Be 2.60, 4 La 2.83-2.91, 4 Co 2.83-2.91
4 La 0.5110 0.5110 0.0220  6 Co 2.60-2.83, 2 Be 2.82

---

# 12
This record from the Alexandria database describes a PBEsol-optimized structure of K2RbYCl6. The functional is meta-GGA SCAN.

Calculated values
Space-group type: Fm-3m
Calculated total energy: -13.576 eV per atom
DOS at the Fermi energy: 0.000 states/eV per atom
E_form (uncorrected): -2.27 eV/atom

Unit cell a=7.9511 b=7.9511 c=7.9511 alpha=60.00 beta=60.00 gamma=60.00
Closest atoms and distances in Å follow each position.
Element x y z (fractional)
1 K 0.2500 0.2500 0.2500  12 Cl 3.98
2 Cl 0.7691 0.7691 0.2309  1 Y 2.60
3 Y 0.0000 0.0000 0.0000  6 Cl 2.60
4 Cl 0.2309 0.7691 0.7691  1 Y 2.60
5 K 0.7500 0.7500 0.7500  12 Cl 3.98
6 Cl 0.7691 0.2309 0.7691  1 Y 2.60
7 Cl 0.7691 0.2309 0.2309  1 Y 2.60
8 Rb 0.5000 0.5000 0.5000  6 Cl 3.03
9 Cl 0.2309 0.7691 0.2309  1 Y 2.60
10 Cl 0.2309 0.2309 0.7691  1 Y 2.60